Entry 1:
DFT (PBE) results for a relaxed Ba4NaGe3S10Cl crystal. Values from VASP.

Results
- space group = P6_3
- calculated total energy (eV per atom) = -4.7843
- formation energy (no corrections) (meV per atom) = -1311

Quantum ESPRESSO input file:
```
&SYSTEM
  ibrav = 0, nat = 38, ntyp = 5
/
ATOMIC_SPECIES
S 32.06 S.upf
Na 22.99 Na.upf
Ge 72.64 Ge.upf
Ba 137.33 Ba.upf
Cl 35.45 Cl.upf
ATOMIC_POSITIONS crystal
S 0.456 0.114 0.858
S 0.886 0.342 0.858
S 0.658 0.544 0.858
S 0.544 0.886 0.358
S 0.114 0.658 0.358
S 0.342 0.456 0.358
S 0.671 0.089 0.621
S 0.911 0.582 0.621
S 0.418 0.329 0.621
S 0.329 0.911 0.121
S 0.089 0.418 0.121
S 0.582 0.671 0.121
S 0.693 0.944 0.892
S 0.056 0.748 0.892
S 0.252 0.307 0.892
S 0.307 0.056 0.392
S 0.944 0.252 0.392
S 0.748 0.693 0.392
S 0.333 0.667 0.704
S 0.667 0.333 0.204
Na 0.000 0.000 0.883
Na 0.000 0.000 0.383
Ge 0.675 0.120 0.796
Ge 0.880 0.555 0.796
Ge 0.445 0.325 0.796
Ge 0.325 0.880 0.296
Ge 0.120 0.445 0.296
Ge 0.555 0.675 0.296
Ba 0.262 0.910 0.636
Ba 0.090 0.352 0.636
Ba 0.648 0.738 0.636
Ba 0.738 0.090 0.136
Ba 0.910 0.648 0.136
Ba 0.352 0.262 0.136
Ba 0.333 0.667 0.947
Ba 0.667 0.333 0.447
Cl 0.000 0.000 0.650
Cl 0.000 0.000 0.150
CELL_PARAMETERS angstrom
9.979 0.000 0.000
-4.989 8.642 0.000
0.000 0.000 12.381
```

***

Entry 2:
DFT (PBE) results for a relaxed TlTeBr3 crystal. Values from VASP.

Results
- energy above the lowest structure with this stoichiometry (meV/atom) = 8
- space group = P-1
- calculated total energy (eV per atom) = -2.5651
- formation energy (no corrections) (meV per atom) = -460

Quantum ESPRESSO input file:
```
&SYSTEM
  ibrav = 0, nat = 10, ntyp = 3
/
ATOMIC_SPECIES
Tl 204.38 Tl.upf
Te 127.60 Te.upf
Br 79.90 Br.upf
ATOMIC_POSITIONS crystal
Tl 0.258 0.145 0.625
Tl 0.226 0.759 0.158
Te 0.821 0.623 0.720
Te 0.664 0.282 0.062
Br 0.732 0.332 0.745
Br 0.752 0.573 0.037
Br 0.610 0.258 0.345
Br 0.910 0.885 0.734
Br 0.575 0.019 0.048
Br 0.875 0.646 0.437
CELL_PARAMETERS angstrom
4.882 0.448 -0.722
1.082 9.631 0.002
-1.096 2.378 8.857
```

***

Entry 3:
DFT (PBE) results for a relaxed Mn2HRuRh crystal. Values from VASP.

Results
- energy above the lowest structure with this stoichiometry (meV/atom) = 0
- space group = P4/mmm
- calculated total energy (eV per atom) = -7.6292

Quantum ESPRESSO input file:
```
&SYSTEM
  ibrav = 0, nat = 5, ntyp = 4
/
ATOMIC_SPECIES
Ru 101.07 Ru.upf
Mn 54.94 Mn.upf
Rh 102.91 Rh.upf
H 1.01 H.upf
ATOMIC_POSITIONS crystal
Ru 0.000 0.000 0.500
Mn 0.000 0.500 0.000
Mn 0.500 0.000 0.000
Rh 0.500 0.500 0.500
H 0.000 0.000 0.000
CELL_PARAMETERS angstrom
-3.440 -1.411 -0.637
-0.451 -0.572 3.702
-1.466 3.416 0.349
```